(1)
Compound: InCuHg2
Source: the Alexandria database
Functional: PBEsol
Structure: optimized geometry

Computed properties:
For the density of states at the Fermi level, the calculation gives 1.5 states/eV/f.u. The calculation puts the calculated density at 12.0 Mg/m³. Its total energy is -2.01 eV per atom. Its formation energy is 39 kJ/mol of formula units. The space group is Pmmm, No. 47.

extended XYZ file:
```
4
Lattice="3.065 0.000 0.000 0.000 3.218 0.000 0.000 0.000 8.117" Properties=species:S:1:pos:R:3 pbc="T T T"
Hg 0.000 0.000 2.408
Hg 0.000 0.000 5.709
In 1.533 1.609 0.000
Cu 1.533 1.609 4.059
```

---

(2)
Compound: SbPt7
Source: the Alexandria database
Functional: PBEsol
Structure: optimized geometry

Computed properties:
The uncorrected formation energy is -0.11 eV per atom. For the density of states at the Fermi level, the calculation gives 9.7 states/eV/f.u. The calculation puts the calculated density at 19.8 Mg/m³. Its total energy is -6.77 eV per atom. The space group is Fm-3m, No. 225.

extended XYZ file:
```
8
Lattice="-1.250 -3.963 -3.772 2.362 -5.077 0.376 -3.097 -4.431 1.507" Properties=species:S:1:pos:R:3 pbc="T T T"
Pt -0.992 -6.735 -0.944
Pt -2.173 -4.197 -1.132
Pt -0.367 -4.754 0.941
Pt 0.556 -4.520 -1.698
Pt 1.181 -2.538 0.188
Pt -0.625 -1.981 -1.886
Pt -1.548 -2.215 0.753
Sb 0.000 0.000 0.000
```

---

(3)
Compound: Sr2TlAu
Source: the Alexandria database
Functional: PBEsol
Structure: optimized geometry

Computed properties:
For the density of states at the Fermi level, the calculation gives 2.3 states/eV/f.u. The calculation puts the calculated density at 7.2 Mg/m³. Its total energy is -2.93 eV per atom. Its formation energy is -143 kJ/mol of formula units. The space group is P4mm, No. 99.

extended XYZ file:
```
4
Lattice="4.467 0.000 0.000 0.000 4.467 0.000 0.000 0.000 6.647" Properties=species:S:1:pos:R:3 pbc="T T T"
Au 2.234 2.234 5.496
Tl 0.000 0.000 2.922
Sr 2.234 2.234 2.117
Sr 0.000 0.000 6.083
```

---

(4)
Compound: Li3InPt
Source: the Alexandria database
Functional: PBEsol
Structure: optimized geometry

Computed properties:
For the density of states at the Fermi level, the calculation gives 2.5 states/eV/f.u. The calculation puts the calculated density at 5.5 Mg/m³. Its total energy is -3.20 eV per atom. Its formation energy is -13 kJ/mol of formula units. The space group is Pm-3m, No. 221.

extended XYZ file:
```
5
Lattice="4.650 0.000 0.000 0.000 4.650 0.000 0.000 0.000 4.650" Properties=species:S:1:pos:R:3 pbc="T T T"
Pt 0.000 0.000 0.000
In 2.325 2.325 2.325
Li 2.325 0.000 0.000
Li 0.000 0.000 2.325
Li 0.000 2.325 0.000
```

---

| no. | total magnetization (μB per cell) |
| --- | --- |
| 1 | 0.000 |
| 2 | 0.001 |
| 3 | 0.000 |
| 4 | 0.000 |